# 1
Fe2AuSe: single point on PBEsol structure, SCAN.

Mass density (g/cm³): 11.4
Formation energy from raw total energies (eV/atom): 0.23
DFT total energy (eV for the cell shown): -124.59
Magnetization (μB per formula unit): 5.833

a = 2.8905 Å, b = 4.4220 Å, c = 4.4220 Å
α = 89.99°, β = 90.00°, γ = 90.00°
Positions (direct):
Au 0.5000 0.5000 0.5000
Fe 0.0000 0.5000 0.0000
Fe 0.0000 0.0000 0.5000
Se 0.5000 0.0000 0.0000

=====

# 2
KTlAg2: single point on PBEsol structure, SCAN.

Mass density (g/cm³): 6.7
E above lowest polymorph (meV/atom): 0
Formation enthalpy at 0 K (eV per atom): -0.003
DFT total energy (eV for the cell shown): -143.43
Magnetization (μB per formula unit): 0.000

a = 4.7258 Å, b = 4.7252 Å, c = 6.5263 Å
α = 111.28°, β = 90.00°, γ = 120.00°
Positions (direct):
Tl 0.2932 0.5864 0.8795
K 0.4936 0.9871 0.4814
Ag 0.0204 0.0409 0.0611
Ag 0.6928 0.3856 0.0781

=====

# 3
K2RbScCl6: single point on PBEsol structure, SCAN.

Mass density (g/cm³): 2.1
Formation energy from raw total energies (eV/atom): -2.21
DFT total energy (eV for the cell shown): -121.55
Magnetization (μB per formula unit): 0.000

a = 7.7344 Å, b = 7.7344 Å, c = 7.7344 Å
α = 60.00°, β = 60.00°, γ = 60.00°
Positions (direct):
K 0.7500 0.7500 0.7500
K 0.2500 0.2500 0.2500
Rb 0.5000 0.5000 0.5000
Sc 0.0000 0.0000 0.0000
Cl 0.7751 0.2249 0.2249
Cl 0.7751 0.7751 0.2249
Cl 0.2249 0.7751 0.7751
Cl 0.7751 0.2249 0.7751
Cl 0.2249 0.7751 0.2249
Cl 0.2249 0.2249 0.7751

=====

# 4
TcMoRh2: single point on PBEsol structure, SCAN.

Mass density (g/cm³): 11.9
E above lowest polymorph (meV/atom): 61
Formation enthalpy at 0 K (eV per atom): -0.175
DFT total energy (eV for the cell shown): -138.19
Magnetization (μB per formula unit): 0.000

a = 3.7856 Å, b = 3.7856 Å, c = 3.8766 Å
α = 90.00°, β = 90.00°, γ = 90.00°
Positions (direct):
Mo 0.0000 0.0000 0.5000
Rh 0.0000 0.5000 0.0000
Rh 0.5000 0.0000 0.0000
Tc 0.5000 0.5000 0.5000

=====

# 5
YTlRh2: single point on PBEsol structure, SCAN.

Mass density (g/cm³): 11.3
Formation enthalpy at 0 K (eV per atom): -0.362
DFT total energy (eV for the cell shown): -169.19
Magnetization (μB per formula unit): 0.000

a = 3.2044 Å, b = 4.1428 Å, c = 5.5473 Å
α = 90.00°, β = 90.00°, γ = 90.00°
Positions (direct):
Rh 0.0000 0.0000 0.9785
Rh 0.5000 0.5000 0.2720
Tl 0.0000 0.0000 0.4617
Y 0.5000 0.5000 0.7878

=====

# 6
Sr5Si3: single point on PBEsol structure, SCAN.

Mass density (g/cm³): 3.5
Formation energy from raw total energies (eV/atom): -0.45
DFT total energy (eV for the cell shown): -289.99
Magnetization (μB per formula unit): 0.192

a = 7.9595 Å, b = 7.9595 Å, c = 9.6456 Å
α = 114.37°, β = 114.37°, γ = 90.00°
Positions (direct):
Si 0.1080 0.6080 0.0000
Si 0.8920 0.3920 0.0000
Si 0.3920 0.1080 0.0000
Si 0.6080 0.8920 0.0000
Si 0.7500 0.7500 0.5000
Si 0.2500 0.2500 0.5000
Sr 0.4623 0.9623 0.2838
Sr 0.8215 0.3215 0.2838
Sr 0.3215 0.4623 0.2838
Sr 0.9623 0.8215 0.2838
Sr 0.1785 0.6785 0.7161
Sr 0.5377 0.0377 0.7161
Sr 0.0377 0.1785 0.7161
Sr 0.6785 0.5377 0.7161
Sr 0.5000 0.5000 0.0000
Sr 0.0000 0.0000 0.0000

=====

# 7
GaIr2PtCl: single point on PBEsol structure, SCAN.

Mass density (g/cm³): 11.7
Formation energy from raw total energies (eV/atom): 1.51
DFT total energy (eV for the cell shown): -229.15
Magnetization (μB per formula unit): 2.918

a = 4.5843 Å, b = 4.6040 Å, c = 4.6040 Å
α = 90.00°, β = 90.00°, γ = 90.00°
Positions (direct):
Ir 0.0000 0.0000 0.5000
Ir 0.0000 0.5000 0.0000
Ga 0.0000 0.0000 0.0000
Pt 0.5000 0.0000 0.0000
Cl 0.5000 0.5000 0.5000

=====

# 8
YHRh3: single point on PBEsol structure, SCAN.

Mass density (g/cm³): 10.2
DFT total energy (eV for the cell shown): -135.31
Magnetization (μB per formula unit): 0.000

a = 4.0155 Å, b = 4.0155 Å, c = 4.0155 Å
α = 90.00°, β = 90.00°, γ = 90.00°
Positions (direct):
Y 0.5000 0.5000 0.5000
H 0.0000 0.0000 0.0000
Rh 0.0000 0.5000 0.0000
Rh 0.0000 0.0000 0.5000
Rh 0.5000 0.0000 0.0000